DFT (PBE) results for DyTeAuO after structural relaxation.

Cell: 4.0330 4.0330 20.6923 Å, 90.00 90.00 90.11°
Closest atoms and distances in Å follow each position.
Fractional positions:
Au: 0.7160 0.2788 0.2498  2 Te 2.71, 4 Au 2.85
Au: 0.2160 0.7788 0.2502  2 Te 2.71, 4 Au 2.85
Au: 0.2212 0.7840 0.7498  2 Te 2.71, 4 Au 2.85
Au: 0.7212 0.2840 0.7502  2 Te 2.71, 4 Au 2.85
Dy: 0.4648 0.0350 0.0516  4 O 2.28
Dy: 0.9648 0.5350 0.4484  4 O 2.28
Dy: 0.4650 0.0352 0.5516  4 O 2.28
Dy: 0.9650 0.5352 0.9484  4 O 2.28
O: 0.9650 0.0350 0.0000  4 Dy 2.28
O: 0.4650 0.5350 0.0000  4 Dy 2.28
O: 0.9650 0.0350 0.5000  4 Dy 2.28
O: 0.4650 0.5350 0.5000  4 Dy 2.28
Te: 0.9637 0.5333 0.1387  2 Au 2.71
Te: 0.4637 0.0333 0.3613  2 Au 2.71
Te: 0.9667 0.5363 0.6387  2 Au 2.71
Te: 0.4667 0.0363 0.8613  2 Au 2.71

Properties
Its offset from the most stable computed form is 0 meV per atom. Its space group is Aea2.